## a
First-principles (GGA-PBE) data for crystalline Pm3PbO2 at its relaxed geometry, as listed in Alexandria via LeMat-Bulk.

```
data_Pm3PbO2
_chemical_formula_sum 'Pm6 Pb2 O4'
_space_group_name_H-M_alt 'P 1'
_space_group_IT_number 1
_space_group_name_Hall 'P 1'
_cell_length_a 3.539
_cell_length_b 11.279
_cell_length_c 6.423
_cell_angle_alpha 90.00
_cell_angle_beta 90.00
_cell_angle_gamma 90.00
loop_
_atom_site_label
_atom_site_type_symbol
_atom_site_fract_x
_atom_site_fract_y
_atom_site_fract_z
Pm1 Pm 0.000 0.099 0.000
Pm2 Pm 0.000 0.901 0.500
Pm3 Pm 0.500 0.163 0.504
Pm4 Pm 0.500 0.388 0.835
Pm5 Pm 0.500 0.612 0.335
Pm6 Pm 0.500 0.837 0.004
Pb1 Pb 0.000 0.364 0.268
Pb2 Pb 0.000 0.636 0.768
O1 O 0.000 0.246 0.746
O2 O 0.000 0.754 0.246
O3 O 0.500 0.002 0.251
O4 O 0.500 0.998 0.751
```

Computed properties:
- Total magnetization: 0.0 Bohr magnetons per cell
- Crystal system: orthorhombic


## b
First-principles (GGA-PBE) data for crystalline Pm3PbO2 at its relaxed geometry, as listed in Alexandria via LeMat-Bulk.

```
data_Pm3PbO2
_chemical_formula_sum 'Pm3 Pb1 O2'
_space_group_name_H-M_alt 'P 1'
_space_group_IT_number 1
_space_group_name_Hall 'P 1'
_cell_length_a 6.629
_cell_length_b 6.629
_cell_length_c 3.261
_cell_angle_alpha 90.00
_cell_angle_beta 90.00
_cell_angle_gamma 120.00
loop_
_atom_site_label
_atom_site_type_symbol
_atom_site_fract_x
_atom_site_fract_y
_atom_site_fract_z
Pm1 Pm 0.000 0.500 0.000
Pm2 Pm 0.500 0.000 0.000
Pm3 Pm 0.500 0.500 0.000
Pb1 Pb 0.000 0.000 0.610
O1 O 0.333 0.667 0.496
O2 O 0.667 0.333 0.496
```

Computed properties:
- Total magnetization: 0.0 Bohr magnetons per cell
- Crystal system: hexagonal


Comparing the structures above, a comes out on top by 109 meV/atom.